This record from the Alexandria database describes an optimized crystal structure of TbEr4Se5. The functional is PBE-GGA.

## Properties
The total moment comes out at 0.000 μB per cell.

abc: 13.4425 4.0528 9.8902
angles: 90.00 119.53 90.00
Closest atoms and distances in Å follow each position.
Space group C2/m (No. 12)
Symmetry-distinct sites (fractional):
Tb1 0.0000 0.0000 0.0000 (multiplicity 2)  6 Se 2.89
Er1 0.0992 0.5000 0.3976 (multiplicity 4)  6 Se 2.84-2.87
Er2 0.2021 0.0000 0.8001 (multiplicity 4)  6 Se 2.84-2.87
Se1 0.0000 0.0000 0.5000 (multiplicity 2)  6 Er 2.87
Se2 0.1023 0.5000 0.8981 (multiplicity 4)  4 Er 2.84-2.85, 2 Tb 2.89
Se3 0.2017 0.0000 0.3036 (multiplicity 4)  5 Er 2.85, 1 Tb 2.89

=====

This record from the Alexandria database describes an optimized crystal structure of Na4VIr3Se8. The functional is PBE-GGA.

## Properties
The total moment comes out at 5.910 μB per cell.

abc: 7.6631 7.6631 20.0206
angles: 90.00 90.00 120.00
Closest atoms and distances in Å follow each position.
Space group R-3m (No. 166, hexagonal axes)
Symmetry-distinct sites (fractional):
Na1 0.0000 0.0000 0.0000 (multiplicity 3)  6 Se 2.98
Na2 0.0000 0.5000 0.0000 (multiplicity 9)  6 Se 3.02-3.06
V1 0.0000 0.0000 0.5000 (multiplicity 3)  6 Se 2.60
Ir1 0.0000 0.5000 0.5000 (multiplicity 9)  6 Se 2.53-2.55
Se1 0.0000 0.0000 0.2280 (multiplicity 6)  3 Ir 2.53
Se2 0.0056 0.5028 0.7687 (multiplicity 18)  2 Ir 2.55, 1 V 2.60

=====

The records above yield energy relative to the elements, uncorrected values of -1.71; -0.62 eV per atom, respectively.